# SrAg3Sn (PBE, optimized geometry)
data_SrAg3Sn
_space_group_name_H-M_alt 'P m -3 m'
_space_group_IT_number 221
_space_group_name_Hall '-P 4 2 3'
_cell_length_a 5.621
_cell_length_b 5.621
_cell_length_c 5.621
_cell_angle_alpha 90.00
_cell_angle_beta 90.00
_cell_angle_gamma 90.00
loop_
_atom_site_label
_atom_site_type_symbol
_atom_site_fract_x
_atom_site_fract_y
_atom_site_fract_z
Sr1 Sr 0.000 0.000 0.000
Ag1 Ag 0.000 0.000 0.500
Sn1 Sn 0.500 0.500 0.500
# Calculated volume in Å³/atom: 35.5
# DOS(E_F) in states/eV/f.u.: 2.9
# E_form in eV/atom: 0.892